Compound: Co3ICl
Source: Alexandria
Functional: GGA-PBE
Structure: optimized geometry

Cell: 4.392 4.392 4.392 Å, 90.00 90.00 90.00°
Fractional positions:
I1 0.500 0.500 0.500
Co1 0.000 0.500 0.000
Co2 0.000 0.000 0.500
Co3 0.500 0.000 0.000
Cl1 0.000 0.000 0.000

Magnetic moment = 1.000 μB/atom
Formation energy without anion corrections = 0.938 eV/atom
Density = 6.65 Mg/m³
ΔE to the lowest computed polymorph = 0.000 eV per atom
Final energy = -4.005 eV per atom